(1)
Density functional theory data (PBE) for an optimized crystal structure of Nd2ThH8.

a b c (Å): 3.718 5.760 6.565
angles (deg): 116.02 106.45 90.00
Element x y z (fractional)
H  0.662  0.907  0.324
H  0.151  0.151  0.302
H  0.849  0.849  0.698
H  0.000  0.738  0.000
H  0.338  0.093  0.676
H  0.662  0.417  0.324
H  0.338  0.583  0.676
H  0.000  0.262  0.000
Nd  0.167  0.667  0.335
Nd  0.833  0.333  0.665
Th  0.500  0.000  0.000

Results
Density of states at the Fermi level, states/eV per atom: 0.2129
SG: Immm (71)
Total DFT energy (no corrections), eV for the cell shown: -49.8

(2)
Density functional theory data (PBE) for an optimized crystal structure of Li3Ga4Rh.

a b c (Å): 4.382 4.382 6.773
angles (deg): 108.92 108.87 90.00
Element x y z (fractional)
Rh  0.500  0.000  0.000
Li  0.000  0.500  0.000
Li  0.740  0.242  0.481
Li  0.260  0.758  0.519
Ga  0.377  0.376  0.753
Ga  0.623  0.624  0.247
Ga  0.123  0.120  0.247
Ga  0.877  0.880  0.753

Results
Calculated formation energy, eV/atom: -0.41
Density of states at the Fermi level, states/eV per atom: 0.3364
SG: C2/m (12)